Here is crystalline LiCoNiF6 at its relaxed geometry from Alexandria. Energies are from GGA+U.

Values from the calculation:
DFT total energy ... -4.57 eV/atom

Lattice parameters (Å, degrees): 4.6493 4.6493 9.2038 90.00 90.00 90.00
Closest atoms and distances in Å follow each position.
Fractional coordinates of all 18 atoms:
Li: 0.5000 0.5000 0.1690  6 F 2.02-2.09
Li: 0.0000 0.0000 0.6690  6 F 2.02-2.09
Co: 0.5000 0.5000 0.4999  6 F 1.90-1.96
Co: 0.0000 0.0000 0.9999  6 F 1.90-1.96
Ni: 0.5000 0.5000 0.8336  6 F 2.00-2.06
Ni: 0.0000 0.0000 0.3336  6 F 2.00-2.06
F: 0.1936 0.8064 0.1611  1 Co 1.95, 1 Li 2.02, 1 Ni 2.03
F: 0.8064 0.1936 0.1611  1 Co 1.95, 1 Li 2.02, 1 Ni 2.03
F: 0.3064 0.3064 0.6611  1 Co 1.95, 1 Li 2.02, 1 Ni 2.03
F: 0.6936 0.6936 0.6611  1 Co 1.95, 1 Li 2.02, 1 Ni 2.03
F: 0.8046 0.1954 0.8391  1 Co 1.96, 1 Ni 2.00, 1 Li 2.03
F: 0.1954 0.8046 0.8391  1 Co 1.96, 1 Ni 2.00, 1 Li 2.03
F: 0.6954 0.6954 0.3391  1 Co 1.96, 1 Ni 2.00, 1 Li 2.03
F: 0.3046 0.3046 0.3391  1 Co 1.96, 1 Ni 2.00, 1 Li 2.03
F: 0.2107 0.7893 0.4985  1 Co 1.90, 1 Ni 2.06, 1 Li 2.09
F: 0.7893 0.2107 0.4985  1 Co 1.90, 1 Ni 2.06, 1 Li 2.09
F: 0.2893 0.2893 0.9985  1 Co 1.90, 1 Ni 2.06, 1 Li 2.09
F: 0.7107 0.7107 0.9985  1 Co 1.90, 1 Ni 2.06, 1 Li 2.09